# 1
Computed, not measured: a relaxed ReH3F crystal at the GGA-PBE level of DFT.

Summary:
Calculated total energy, eV per atom: -4.454
Magnetization, μB/cell: 3.00
Crystal system: cubic
D(E_F), states/eV per cell: 0.00
Symmetry: No. 221
Theoretical density, g/cm³: 7.87

Cell: 3.5293 3.5293 3.5293 Å, 90.00 90.00 90.00°
Last column: nearest neighbours and their distance in Å.
Sites, in units of the cell vectors:
Re1 0.0000 0.0000 0.0000  6 H 1.76
H1 0.0000 0.5000 0.0000  2 Re 1.76
H2 0.0000 0.0000 0.5000  2 Re 1.76
H3 0.5000 0.0000 0.0000  2 Re 1.76
F1 0.5000 0.5000 0.5000  12 H 2.50

***

# 2
Computed, not measured: a relaxed CrAu2Se crystal at the GGA-PBE level of DFT.

Summary:
Calculated total energy, eV per atom: -4.680
Magnetization, μB/cell: 4.01
Crystal system: cubic
D(E_F), states/eV per cell: 2.34
Symmetry: No. 216
Theoretical density, g/cm³: 11.86
Formation energy from raw total energies, eV/atom: 0.24

Cell: 4.7010 4.7010 4.7010 Å, 60.00 60.00 60.00°
Last column: nearest neighbours and their distance in Å.
Sites, in units of the cell vectors:
Au1 0.0000 0.0000 0.0000  4 Se 2.88, 4 Au 2.88
Au2 0.2500 0.2500 0.2500  4 Cr 2.88, 4 Au 2.88
Cr1 0.5000 0.5000 0.5000  4 Au 2.88, 4 Se 2.88
Se1 0.7500 0.7500 0.7500  4 Au 2.88, 4 Cr 2.88

***

# 3
Computed, not measured: a relaxed ScNi2Pt crystal at the GGA-PBE level of DFT.

Summary:
Calculated total energy, eV per atom: -6.558
Magnetization, μB/cell: 0.64
Crystal system: tetragonal
D(E_F), states/eV per cell: 6.13
Symmetry: No. 119
Theoretical density, g/cm³: 10.44
Energy of formation, meV/atom: -575

Cell: 4.7255 4.7255 4.7255 Å, 132.19 132.15 69.96°
Last column: nearest neighbours and their distance in Å.
Sites, in units of the cell vectors:
Ni1 0.9998 0.9998 0.0000  4 Pt 2.71, 4 Ni 2.72-2.73, 4 Sc 2.72
Ni2 0.7502 0.2502 0.5000  4 Sc 2.71, 4 Ni 2.72-2.73, 4 Pt 2.72
Pt1 0.5000 0.5000 0.0000  8 Ni 2.71-2.72, 4 Sc 2.72
Sc1 0.2500 0.7500 0.5000  8 Ni 2.71-2.72, 4 Pt 2.72

***

# 4
Computed, not measured: a relaxed Nd12Sm6Sc crystal at the GGA-PBE level of DFT.

Summary:
Calculated total energy, eV per atom: -4.704
Magnetization, μB/cell: 0.00
Crystal system: trigonal
D(E_F), states/eV per cell: 31.60
Symmetry: No. 148
Theoretical density, g/cm³: 6.73
Energy of formation, meV/atom: 131

Cell: 8.7117 8.7117 8.7117 Å, 89.30 89.30 89.30°
Last column: nearest neighbours and their distance in Å.
Sites, in units of the cell vectors:
Nd1 0.7818 0.5349 0.4364  6 Nd 3.38-3.77, 3 Sm 3.45-3.52
Nd2 0.4364 0.7818 0.5349  6 Nd 3.38-3.77, 3 Sm 3.45-3.52
Nd3 0.5349 0.4364 0.7818  6 Nd 3.38-3.77, 3 Sm 3.45-3.52
Nd4 0.2182 0.4651 0.5636  6 Nd 3.38-3.77, 3 Sm 3.45-3.52
Nd5 0.5636 0.2182 0.4651  6 Nd 3.38-3.77, 3 Sm 3.45-3.52
Nd6 0.4651 0.5636 0.2182  6 Nd 3.38-3.77, 3 Sm 3.45-3.52
Nd7 0.0183 0.1883 0.3589  4 Nd 3.51-3.70, 4 Sm 3.54-3.78, 1 Sc 3.55
Nd8 0.8117 0.6411 0.9817  4 Nd 3.51-3.70, 4 Sm 3.54-3.78, 1 Sc 3.55
Nd9 0.6411 0.9817 0.8117  4 Nd 3.51-3.70, 4 Sm 3.54-3.78, 1 Sc 3.55
Nd10 0.9817 0.8117 0.6411  4 Nd 3.51-3.70, 4 Sm 3.54-3.78, 1 Sc 3.55
Nd11 0.1883 0.3589 0.0183  4 Nd 3.51-3.70, 4 Sm 3.54-3.78, 1 Sc 3.55
Nd12 0.3589 0.0183 0.1883  4 Nd 3.51-3.70, 4 Sm 3.54-3.78, 1 Sc 3.55
Sm1 0.7395 0.9041 0.2947  7 Nd 3.45-3.78, 1 Sc 3.51, 2 Sm 3.55
Sm2 0.7053 0.2605 0.0959  7 Nd 3.45-3.78, 1 Sc 3.51, 2 Sm 3.55
Sm3 0.0959 0.7053 0.2605  7 Nd 3.45-3.78, 1 Sc 3.51, 2 Sm 3.55
Sm4 0.2605 0.0959 0.7053  7 Nd 3.45-3.78, 1 Sc 3.51, 2 Sm 3.55
Sm5 0.2947 0.7395 0.9041  7 Nd 3.45-3.78, 1 Sc 3.51, 2 Sm 3.55
Sm6 0.9041 0.2947 0.7395  7 Nd 3.45-3.78, 1 Sc 3.51, 2 Sm 3.55
Sc1 0.0000 0.0000 0.0000  6 Sm 3.51, 6 Nd 3.55

***

# 5
Computed, not measured: a relaxed HfAl4Rh crystal at the GGA-PBE level of DFT.

Summary:
Calculated total energy, eV per atom: -5.891
Magnetization, μB/cell: 0.00
Crystal system: monoclinic
D(E_F), states/eV per cell: 5.67
Symmetry: No. 10
Theoretical density, g/cm³: 6.71
Energy of formation, meV/atom: -512

Cell: 4.4883 4.5079 10.0440 Å, 103.04 103.00 89.66°
Last column: nearest neighbours and their distance in Å.
Sites, in units of the cell vectors:
Hf1 0.7500 0.7500 0.0000  8 Al 2.92-2.93, 4 Hf 3.17-3.19
Hf2 0.2500 0.2500 0.0000  8 Al 2.92-2.93, 4 Hf 3.17-3.19
Al1 0.6522 0.1520 0.8042  4 Al 2.72-2.73, 1 Rh 2.90, 4 Hf 2.92-2.93
Al2 0.8480 0.3479 0.1958  4 Al 2.72-2.73, 1 Rh 2.90, 4 Hf 2.92-2.93
Al3 0.3478 0.8480 0.1958  4 Al 2.72-2.73, 1 Rh 2.90, 4 Hf 2.92-2.93
Al4 0.1520 0.6521 0.8042  4 Al 2.72-2.73, 1 Rh 2.90, 4 Hf 2.92-2.93
Al5 0.0711 0.0710 0.6421  4 Rh 2.62-2.63, 5 Al 2.71-2.73
Al6 0.4290 0.4291 0.3579  4 Rh 2.62-2.63, 5 Al 2.71-2.73
Al7 0.9289 0.9290 0.3579  4 Rh 2.62-2.63, 5 Al 2.71-2.73
Al8 0.5710 0.5709 0.6421  4 Rh 2.62-2.63, 5 Al 2.71-2.73
Rh1 0.5000 0.0000 0.5000  10 Al 2.62-2.90
Rh2 0.0000 0.5000 0.5000  10 Al 2.62-2.90

***

# 6
Computed, not measured: a relaxed Tb4Sm8Pu crystal at the GGA-PBE level of DFT.

Summary:
Calculated total energy, eV per atom: -4.927
Magnetization, μB/cell: 6.94
Crystal system: trigonal
D(E_F), states/eV per cell: 19.93
Symmetry: No. 166
Theoretical density, g/cm³: 7.25
Energy of formation, meV/atom: 504

Cell: 7.8147 7.8147 7.8147 Å, 90.17 90.17 90.17°
Last column: nearest neighbours and their distance in Å.
Sites, in units of the cell vectors:
Tb1 0.5000 0.0000 0.5000  8 Sm 3.41-3.42
Tb2 0.0000 0.5000 0.5000  8 Sm 3.41-3.42
Tb3 0.5000 0.5000 0.0000  8 Sm 3.41-3.42
Tb4 0.0000 0.0000 0.0000  8 Sm 3.28-3.30
Sm1 0.2429 0.7558 0.2429  4 Tb 3.30-3.41, 1 Pu 3.48
Sm2 0.7571 0.7571 0.2442  4 Tb 3.30-3.41, 1 Pu 3.48
Sm3 0.7571 0.2442 0.7571  4 Tb 3.30-3.41, 1 Pu 3.48
Sm4 0.2442 0.7571 0.7571  4 Tb 3.30-3.41, 1 Pu 3.48
Sm5 0.7566 0.7566 0.7566  4 Tb 3.28-3.42, 1 Pu 3.46
Sm6 0.2434 0.2434 0.2434  4 Tb 3.28-3.42, 1 Pu 3.46
Sm7 0.7558 0.2429 0.2429  4 Tb 3.30-3.41, 1 Pu 3.48
Sm8 0.2429 0.2429 0.7558  4 Tb 3.30-3.41, 1 Pu 3.48
Pu1 0.5000 0.5000 0.5000  8 Sm 3.46-3.48

***

Question: Which of these has the highest D(E_F)?
Answer: Nd12Sm6Sc

***

Question: Which formula does entry 4 have?
Answer: Nd12Sm6Sc

***

Question: theoretical density of number 1 (ReH3F)?
Answer: 7.87 g/cm³